A relaxed structure of Er2Tm6Ru. Source: the Alexandria database, functional PBE.

Output
- Space-group type: Cmmm
- E_form: 0.90 eV per formula unit
- D(E_F): 10.95 states/eV/cell
- VASP energy: -4.93 eV/atom

Cell lengths 3.4164, 8.9510, 9.5609 Å; angles 117.91, 90.02, 90.00 degrees
Element x y z (fractional)
Er 0.4997 0.6747 0.3494
Er 0.5003 0.3253 0.6506
Tm 0.0002 0.3317 0.3246
Tm 0.9998 0.0071 0.6754
Tm 0.9998 0.6683 0.6754
Tm 0.5000 0.2552 0.0000
Tm 0.0002 0.9929 0.3246
Tm 0.5000 0.7448 0.0000
Ru 0.0000 0.0000 0.0000